No. 1
# Tb12Pm5Pr2

Crystalline Tb12Pm5Pr2 at its relaxed geometry (PBE, Alexandria).

Computed properties:
crystal system: monoclinic
V: 641.53 Å³/cell
energy relative to the elements: 0.129 eV per atom

Cell lengths 9.160, 9.160, 8.717 Å; angles 91.63, 91.63, 61.34 degrees
Sites, in units of the cell vectors:
1 Tb 0.058 0.058 0.337
2 Tb 0.062 0.681 0.337
3 Tb 0.171 0.529 0.758
4 Tb 0.319 0.938 0.663
5 Tb 0.421 0.421 0.123
6 Tb 0.471 0.829 0.242
7 Tb 0.529 0.171 0.758
8 Tb 0.579 0.579 0.877
9 Tb 0.681 0.062 0.337
10 Tb 0.829 0.471 0.242
11 Tb 0.938 0.319 0.663
12 Tb 0.942 0.942 0.663
13 Pm 0.205 0.205 0.020
14 Pm 0.270 0.270 0.428
15 Pm 0.500 0.500 0.500
16 Pm 0.730 0.730 0.572
17 Pm 0.795 0.795 0.980
18 Pr 0.177 0.823 0.000
19 Pr 0.823 0.177 0.000

=====

No. 2
# Tb2Pm2Pr7

Crystalline Tb2Pm2Pr7 at its relaxed geometry (PBE, Alexandria).

Computed properties:
crystal system: monoclinic
V: 394.15 Å³/cell
energy relative to the elements: 0.098 eV per atom

Cell lengths 6.706, 6.706, 8.935 Å; angles 97.52, 97.52, 92.61 degrees
Sites, in units of the cell vectors:
1 Tb 0.175 0.825 0.000
2 Tb 0.825 0.175 0.000
3 Pm 0.111 0.111 0.356
4 Pm 0.889 0.889 0.644
5 Pr 0.045 0.415 0.706
6 Pr 0.346 0.346 0.084
7 Pr 0.415 0.045 0.706
8 Pr 0.500 0.500 0.500
9 Pr 0.585 0.955 0.294
10 Pr 0.654 0.654 0.916
11 Pr 0.955 0.585 0.294

=====

No. 3
# TbPm3Pr6

Crystalline TbPm3Pr6 at its relaxed geometry (PBE, Alexandria).

Computed properties:
crystal system: orthorhombic
V: 707.84 Å³/cell
energy relative to the elements: 0.131 eV per atom

Cell lengths 11.216, 11.216, 6.550 Å; angles 90.00, 90.00, 120.80 degrees
Sites, in units of the cell vectors:
1 Tb 0.191 0.809 0.500
2 Tb 0.809 0.191 0.000
3 Pm 0.057 0.292 0.350
4 Pm 0.292 0.057 0.850
5 Pm 0.383 0.617 0.473
6 Pm 0.617 0.383 0.973
7 Pm 0.708 0.943 0.350
8 Pm 0.943 0.708 0.850
9 Pr 0.034 0.966 0.249
10 Pr 0.059 0.475 0.759
11 Pr 0.279 0.721 0.041
12 Pr 0.289 0.370 0.946
13 Pr 0.370 0.289 0.446
14 Pr 0.475 0.059 0.259
15 Pr 0.525 0.941 0.759
16 Pr 0.630 0.711 0.946
17 Pr 0.711 0.630 0.446
18 Pr 0.721 0.279 0.541
19 Pr 0.941 0.525 0.259
20 Pr 0.966 0.034 0.749

=====

No. 4
# Tb3Pm3Pr5

Crystalline Tb3Pm3Pr5 at its relaxed geometry (PBE, Alexandria).

Computed properties:
crystal system: hexagonal
V: 395.29 Å³/cell
energy relative to the elements: 0.300 eV per atom

Cell lengths 11.456, 11.456, 3.478 Å; angles 90.00, 90.00, 120.00 degrees
Sites, in units of the cell vectors:
1 Tb 0.000 0.841 0.000
2 Tb 0.159 0.159 0.000
3 Tb 0.841 0.000 0.000
4 Pm 0.000 0.598 0.500
5 Pm 0.402 0.402 0.500
6 Pm 0.598 0.000 0.500
7 Pr 0.000 0.338 0.000
8 Pr 0.333 0.667 0.000
9 Pr 0.338 0.000 0.000
10 Pr 0.662 0.662 0.000
11 Pr 0.667 0.333 0.000

=====

No. 5
# TbPm2Pr12

Crystalline TbPm2Pr12 at its relaxed geometry (PBE, Alexandria).

Computed properties:
crystal system: tetragonal
V: 1140.25 Å³/cell
energy relative to the elements: 0.306 eV per atom

Cell lengths 6.654, 6.654, 25.756 Å; angles 90.00, 90.00, 90.00 degrees
Sites, in units of the cell vectors:
1 Tb 0.250 0.750 0.000
2 Tb 0.750 0.250 0.000
3 Pm 0.250 0.750 0.267
4 Pm 0.250 0.750 0.733
5 Pm 0.750 0.250 0.267
6 Pm 0.750 0.250 0.733
7 Pr 0.065 0.565 0.113
8 Pr 0.065 0.935 0.887
9 Pr 0.082 0.582 0.562
10 Pr 0.082 0.918 0.438
11 Pr 0.250 0.250 0.214
12 Pr 0.250 0.250 0.337
13 Pr 0.250 0.250 0.663
14 Pr 0.250 0.250 0.786
15 Pr 0.418 0.582 0.438
16 Pr 0.418 0.918 0.562
17 Pr 0.435 0.565 0.887
18 Pr 0.435 0.935 0.113
19 Pr 0.565 0.065 0.887
20 Pr 0.565 0.435 0.113
21 Pr 0.582 0.082 0.438
22 Pr 0.582 0.418 0.562
23 Pr 0.750 0.750 0.214
24 Pr 0.750 0.750 0.337
25 Pr 0.750 0.750 0.663
26 Pr 0.750 0.750 0.786
27 Pr 0.918 0.082 0.562
28 Pr 0.918 0.418 0.438
29 Pr 0.935 0.065 0.113
30 Pr 0.935 0.435 0.887

=====

No. 6
# Tb2Pm2Pr

Crystalline Tb2Pm2Pr at its relaxed geometry (PBE, Alexandria).

Computed properties:
crystal system: orthorhombic
V: 338.91 Å³/cell
energy relative to the elements: 0.044 eV per atom

Cell lengths 3.572, 5.745, 16.517 Å; angles 90.00, 90.00, 90.00 degrees
Sites, in units of the cell vectors:
1 Tb 0.000 0.000 0.099
2 Tb 0.000 0.000 0.901
3 Tb 0.500 0.500 0.401
4 Tb 0.500 0.500 0.599
5 Pm 0.000 0.500 0.213
6 Pm 0.000 0.500 0.787
7 Pm 0.500 0.000 0.287
8 Pm 0.500 0.000 0.713
9 Pr 0.000 0.000 0.500
10 Pr 0.500 0.500 0.000